i) Sm2InH after structural relaxation. Source: Alexandria via LeMat-Bulk, functional PBE.

space group: No. 166
Fermi-level density of states: 3.131 states/eV/cell
calculated density: 7.452 g cm⁻³

abc: 3.6812 3.6812 8.1898
angles: 77.01 77.01 60.00
Atoms (fractional coordinates):
1 H 0.5000 0.5000 0.5000
2 Sm 0.2264 0.2264 0.3209
3 Sm 0.7736 0.7736 0.6791
4 In 0.0000 0.0000 0.0000

ii) Sm2InH after structural relaxation. Source: Alexandria via LeMat-Bulk, functional PBE.

space group: No. 123
Fermi-level density of states: 3.977 states/eV/cell
calculated density: 7.730 g cm⁻³

abc: 3.4118 3.4118 7.6870
angles: 90.00 90.00 90.00
Atoms (fractional coordinates):
1 H 0.5000 0.5000 0.0000
2 Sm 0.0000 0.0000 0.7851
3 Sm 0.0000 0.0000 0.2149
4 In 0.5000 0.5000 0.5000

iii) Sm2InH after structural relaxation. Source: Alexandria via LeMat-Bulk, functional PBE.

space group: No. 47
Fermi-level density of states: 5.945 states/eV/cell
calculated density: 7.196 g cm⁻³

abc: 3.6942 7.6179 6.8307
angles: 90.00 90.00 90.00
Atoms (fractional coordinates):
1 Sm 0.5000 0.7242 0.5000
2 Sm 0.5000 0.2758 0.5000
3 Sm 0.5000 0.2758 0.0000
4 Sm 0.5000 0.7242 0.0000
5 In 0.0000 0.9999 0.2500
6 In 0.0000 0.0001 0.7500
7 H 0.5000 0.5001 0.2500
8 H 0.5000 0.4999 0.7500

Energy relative to the most stable one, in eV/atom: i) 0.000; ii) 0.201; iii) 0.045

i) In2SnH after structural relaxation. Source: Alexandria via LeMat-Bulk, functional PBE.

space group: No. 225
Fermi-level density of states: 1.927 states/eV/cell
calculated density: 6.540 g cm⁻³

abc: 5.0059 5.0059 5.0059
angles: 60.00 60.00 60.00
Atoms (fractional coordinates):
1 H 0.0000 0.0000 0.0000
2 Sn 0.5000 0.5000 0.5000
3 In 0.2500 0.2500 0.2500
4 In 0.7500 0.7500 0.7500

ii) In2SnH after structural relaxation. Source: Alexandria via LeMat-Bulk, functional PBE.

space group: No. 122
Fermi-level density of states: 3.187 states/eV/cell
calculated density: 5.954 g cm⁻³

abc: 5.2950 5.2950 7.8943
angles: 70.41 70.41 90.00
Atoms (fractional coordinates):
1 H 0.5000 0.5000 0.0000
2 H 0.2500 0.7500 0.5000
3 Sn 0.0000 0.0000 0.0000
4 Sn 0.7500 0.2500 0.5000
5 In 0.5093 0.1250 0.2500
6 In 0.2407 0.6250 0.2500
7 In 0.3750 0.4907 0.7500
8 In 0.8750 0.7593 0.7500

iii) In2SnH after structural relaxation. Source: Alexandria via LeMat-Bulk, functional PBE.

space group: No. 4
Fermi-level density of states: 1.611 states/eV/cell
calculated density: 6.736 g cm⁻³

abc: 3.7452 16.8216 8.2539
angles: 160.66 89.99 90.01
Atoms (fractional coordinates):
1 In 0.7782 0.6988 0.5619
2 In 0.2787 0.1618 0.5329
3 In 0.2777 0.4872 0.5414
4 In 0.7787 0.0242 0.5705
5 Sn 0.2784 0.8605 0.5559
6 Sn 0.7781 0.3256 0.5474
7 H 0.7756 0.6701 0.8029
8 H 0.2761 0.5159 0.3005

Energy relative to the most stable one, in eV/atom: i) 0.198; ii) 0.108; iii) 0.000